Density functional theory data (PBE) for a relaxed structure of PmPr2Y7.

Calculated values
For the magnetic moment, the calculation gives 0.0 μB/f.u. As for the energy of formation from the pure elements: 0.02 eV per atom. The energy above the most stable polymorph in this dataset is 0.000 eV/atom. The value obtained for the energy is -5.94 eV/atom. As for the space group: P-1 (2). The density of states at the Fermi level is 1.4948 states/eV/atom.

Cell: 6.2407 6.2455 9.5367 Å, 102.59 109.01 99.43°
With the nearest neighbours (Å) after each atom.
Sites, in units of the cell vectors:
Pm 0.0000 0.0000 0.0000  10 Y 3.59-3.62, 2 Pr 3.61
Pr 0.4000 0.4987 0.3000  10 Y 3.60-3.63, 1 Pr 3.60, 1 Pm 3.61
Pr 0.6000 0.5013 0.7000  10 Y 3.60-3.63, 1 Pr 3.60, 1 Pm 3.61
Y 0.0000 0.5000 0.5000  4 Pr 3.60, 8 Y 3.60-3.61
Y 0.1989 0.9991 0.3997  8 Y 3.59-3.62, 3 Pr 3.61-3.63, 1 Pm 3.61
Y 0.2010 0.5000 0.9003  7 Y 3.59-3.62, 3 Pr 3.60-3.61, 2 Pm 3.60-3.61
Y 0.3983 0.9997 0.7998  8 Y 3.59-3.62, 2 Pm 3.59-3.62, 2 Pr 3.60-3.62
Y 0.6017 0.0003 0.2002  8 Y 3.59-3.62, 2 Pm 3.59-3.62, 2 Pr 3.60-3.62
Y 0.7990 0.5000 0.0997  7 Y 3.59-3.62, 3 Pr 3.60-3.61, 2 Pm 3.60-3.61
Y 0.8011 0.0009 0.6003  8 Y 3.59-3.62, 3 Pr 3.61-3.63, 1 Pm 3.61

=====

Density functional theory data (PBE) for a relaxed structure of Ba2PtI.

Calculated values
For the magnetic moment, the calculation gives 0.0 μB/f.u. The energy above the most stable polymorph in this dataset is 0.281 eV/atom. The calculation puts the uncorrected formation energy at -0.864 eV/atom. The value obtained for the energy is -3.72 eV/atom. As for the space group: Fm-3m (225). The density of states at the Fermi level is 1.0782 states/eV/atom.

Cell: 5.8054 5.8054 5.8054 Å, 60.00 60.00 60.00°
With the nearest neighbours (Å) after each atom.
Sites, in units of the cell vectors:
Ba 0.2500 0.2500 0.2500  4 I 3.56, 4 Pt 3.56
Ba 0.7500 0.7500 0.7500  4 Pt 3.56, 4 I 3.56
Pt 0.0000 0.0000 0.0000  8 Ba 3.56
I 0.5000 0.5000 0.5000  8 Ba 3.56

=====

Density functional theory data (PBE) for a relaxed structure of BeBPdAu.

Calculated values
For the magnetic moment, the calculation gives 0.0 μB/f.u. As for the energy of formation from the pure elements: 0.06 eV per atom. The energy above the most stable polymorph in this dataset is 0.055 eV/atom. The value obtained for the energy is -4.66 eV/atom. As for the space group: Amm2 (38). The density of states at the Fermi level is 0.2390 states/eV/atom.

Cell: 3.3976 4.5067 4.5067 Å, 42.69 90.00 90.00°
With the nearest neighbours (Å) after each atom.
Sites, in units of the cell vectors:
Be 0.0000 0.0000 0.0000  2 B 2.05
B 0.5000 0.1368 0.1368  2 Be 2.05, 1 Au 2.28
Pd 0.0000 0.7043 0.7043  3 Be 2.37-2.48, 4 B 2.43
Au 0.5000 0.4080 0.4080  3 B 2.28-2.53, 4 Be 2.48

=====

Density functional theory data (PBE) for a relaxed structure of TiCdSn.

Calculated values
For the magnetic moment, the calculation gives 0.0 μB/f.u. As for the energy of formation from the pure elements: 0.08 eV per atom. The energy above the most stable polymorph in this dataset is 0.157 eV/atom. The value obtained for the energy is -4.19 eV/atom. As for the space group: P-6m2 (187). The density of states at the Fermi level is 1.1051 states/eV/atom.

Cell: 4.8939 4.8939 2.9966 Å, 90.00 90.00 120.00°
With the nearest neighbours (Å) after each atom.
Sites, in units of the cell vectors:
Ti 0.0000 0.0000 0.0000  2 Ti 3.00, 6 Sn 3.20, 6 Cd 3.20
Cd 0.3333 0.6667 0.5000  3 Sn 2.83, 2 Cd 3.00
Sn 0.6667 0.3333 0.5000  3 Cd 2.83, 2 Sn 3.00

=====

Density functional theory data (PBE) for a relaxed structure of Li3Dy.

Calculated values
For the magnetic moment, the calculation gives 0.1 μB/f.u. As for the energy of formation from the pure elements: 0.21 eV per atom. The energy above the most stable polymorph in this dataset is 0.169 eV/atom. The value obtained for the energy is -2.37 eV/atom. As for the space group: P6_3/mmc (194). The density of states at the Fermi level is 1.2113 states/eV/atom.

Cell: 6.5466 6.5466 5.0388 Å, 90.00 90.00 120.00°
With the nearest neighbours (Å) after each atom.
Sites, in units of the cell vectors:
Li 0.1517 0.3034 0.2500  6 Li 2.98-3.05, 4 Dy 3.25-3.28
Li 0.1517 0.8483 0.2500  6 Li 2.98-3.05, 4 Dy 3.25-3.28
Li 0.3034 0.1517 0.7500  6 Li 2.98-3.05, 4 Dy 3.25-3.28
Li 0.6966 0.8483 0.2500  6 Li 2.98-3.05, 4 Dy 3.25-3.28
Li 0.8483 0.1517 0.7500  6 Li 2.98-3.05, 4 Dy 3.25-3.28
Li 0.8483 0.6966 0.7500  6 Li 2.98-3.05, 4 Dy 3.25-3.28
Dy 0.3333 0.6667 0.7500  12 Li 3.25-3.28
Dy 0.6667 0.3333 0.2500  12 Li 3.25-3.28

=====

Density functional theory data (PBE) for a relaxed structure of KTe3Au.

Calculated values
For the magnetic moment, the calculation gives 0.0 μB/f.u. The calculation puts the uncorrected formation energy at -0.097 eV/atom. The value obtained for the energy is -2.86 eV/atom. As for the space group: Pm-3m (221). The density of states at the Fermi level is 1.0770 states/eV/atom.

Cell: 5.5978 5.5978 5.5978 Å, 90.00 90.00 90.00°
With the nearest neighbours (Å) after each atom.
Sites, in units of the cell vectors:
K 0.0000 0.0000 0.0000  12 Te 3.96
Te 0.0000 0.5000 0.5000  2 Au 2.80
Te 0.5000 0.0000 0.5000  2 Au 2.80
Te 0.5000 0.5000 0.0000  2 Au 2.80
Au 0.5000 0.5000 0.5000  6 Te 2.80

=====

Density functional theory data (PBE) for a relaxed structure of InPAu.

Calculated values
For the magnetic moment, the calculation gives 0.0 μB/f.u. As for the energy of formation from the pure elements: 0.27 eV per atom. The energy above the most stable polymorph in this dataset is 0.231 eV/atom. The value obtained for the energy is -3.54 eV/atom. As for the space group: P-62m (189). The density of states at the Fermi level is 0.4181 states/eV/atom.

Cell: 7.8757 7.8757 3.3951 Å, 90.00 90.00 120.00°
With the nearest neighbours (Å) after each atom.
Sites, in units of the cell vectors:
In 0.0000 0.7173 0.0000  2 P 2.79, 4 Au 2.80-2.85
In 0.2827 0.2827 0.0000  2 P 2.79, 4 Au 2.80-2.85
In 0.7173 0.0000 0.0000  2 P 2.79, 4 Au 2.80-2.85
P 0.0000 0.4367 0.5000  2 In 2.79, 4 Au 2.88
P 0.4367 0.0000 0.5000  2 In 2.79, 4 Au 2.88
P 0.5633 0.5633 0.5000  2 In 2.79, 4 Au 2.88
Au 0.0000 0.0000 0.5000  6 In 2.80
Au 0.3333 0.6667 0.0000  3 In 2.85, 6 P 2.88
Au 0.6667 0.3333 0.0000  3 In 2.85, 6 P 2.88

=====

Density functional theory data (PBE) for a relaxed structure of MgTaH.

Calculated values
For the magnetic moment, the calculation gives 0.0 μB/f.u. The energy above the most stable polymorph in this dataset is 0.904 eV/atom. The value obtained for the energy is -4.75 eV/atom. As for the space group: P6_3/mmc (194). The density of states at the Fermi level is 0.4564 states/eV/atom.

Cell: 2.9549 2.9549 12.6749 Å, 90.00 90.00 120.00°
With the nearest neighbours (Å) after each atom.
Sites, in units of the cell vectors:
Mg 0.0000 0.0000 0.2500  3 H 1.71
Mg 0.0000 0.0000 0.7500  3 H 1.71
Ta 0.0000 0.0000 0.0000  6 Ta 2.95, 2 Mg 3.17
Ta 0.0000 0.0000 0.5000  6 Ta 2.95, 2 Mg 3.17
H 0.3333 0.6667 0.2500  3 Mg 1.71
H 0.6667 0.3333 0.7500  3 Mg 1.71